! PuFeB | OQMD | PBE-GGA | relaxed; values from VASP
! Energy above the lowest structure with this stoichiometry: 0.0 meV per atom
&SYSTEM
  ibrav = 0, nat = 3, ntyp = 3
/
ATOMIC_SPECIES
Pu 244.00 Pu.upf
Fe 55.84 Fe.upf
B 10.81 B.upf
ATOMIC_POSITIONS angstrom
Pu 0.000 0.000 0.000
Fe 2.735 2.735 2.735
B 4.103 4.103 4.103
CELL_PARAMETERS angstrom
0.000 2.735 2.735
2.735 0.000 2.735
2.735 2.735 0.000

***

! HgPd124 | OQMD | PBE-GGA | relaxed; values from VASP
! Calculated formation energy: -0.26 eV/f.u.
&SYSTEM
  ibrav = 0, nat = 125, ntyp = 2
/
ATOMIC_SPECIES
Hg 200.59 Hg.upf
Pd 106.42 Pd.upf
ATOMIC_POSITIONS angstrom
Hg 0.000 0.000 0.000
Pd 1.983 1.983 0.000
Pd 3.931 3.931 0.000
Pd 5.878 5.878 0.000
Pd 7.826 7.826 0.000
Pd 3.928 1.964 1.964
Pd 5.886 3.923 1.962
Pd 7.845 5.881 1.964
Pd 1.983 0.000 1.983
Pd 9.809 7.826 1.983
Pd 5.886 1.962 3.923
Pd 7.847 3.923 3.923
Pd 11.773 17.654 13.737
Pd 3.931 0.000 3.931
Pd 9.809 5.878 3.931
Pd 5.878 0.000 5.878
Pd 9.809 3.931 5.878
Pd 7.845 1.964 5.881
Pd 11.771 5.886 5.886
Pd 13.732 7.847 5.886
Pd 7.826 0.000 7.826
Pd 9.809 1.983 7.826
Pd 11.773 13.737 17.654
Pd 13.732 5.886 7.847
Pd 15.690 17.654 17.654
Pd 1.964 3.928 1.964
Pd 3.923 5.886 1.962
Pd 5.881 7.845 1.964
Pd 1.964 1.964 3.928
Pd 3.923 3.923 3.923
Pd 5.885 5.885 3.923
Pd 7.845 7.845 3.928
Pd 9.809 9.809 3.927
Pd 3.923 1.962 5.886
Pd 5.885 3.923 5.885
Pd 7.847 5.886 5.886
Pd 9.809 7.846 5.886
Pd 11.772 9.809 5.886
Pd 5.881 1.964 7.845
Pd 7.845 3.928 7.845
Pd 9.809 5.886 7.846
Pd 11.771 7.846 7.846
Pd 13.732 9.809 7.846
Pd 9.809 3.927 9.809
Pd 11.772 5.886 9.809
Pd 13.732 7.846 9.809
Pd 15.690 9.809 9.809
Pd 0.000 1.983 1.983
Pd 7.826 9.809 1.983
Pd 7.826 1.983 9.809
Pd 1.962 5.886 3.923
Pd 3.923 7.847 3.923
Pd 17.654 11.773 13.737
Pd 1.962 3.923 5.886
Pd 3.923 5.885 5.885
Pd 5.886 7.847 5.886
Pd 7.846 9.809 5.886
Pd 9.809 11.772 5.886
Pd 3.923 3.923 7.847
Pd 5.886 5.886 7.847
Pd 7.846 7.846 7.846
Pd 9.809 9.809 7.847
Pd 11.771 11.771 7.846
Pd 7.846 5.886 9.809
Pd 9.809 7.847 9.809
Pd 11.771 9.809 9.809
Pd 13.732 11.772 9.809
Pd 17.654 13.737 11.773
Pd 9.809 5.886 11.772
Pd 11.771 7.846 11.771
Pd 13.732 9.809 11.772
Pd 15.690 11.773 11.773
Pd 0.000 3.931 3.931
Pd 5.878 9.809 3.931
Pd 5.878 3.931 9.809
Pd 0.000 5.878 5.878
Pd 3.931 9.809 5.878
Pd 3.931 5.878 9.809
Pd 1.964 7.845 5.881
Pd 5.886 11.771 5.886
Pd 7.847 13.732 5.886
Pd 1.964 5.881 7.845
Pd 3.928 7.845 7.845
Pd 5.886 9.809 7.846
Pd 7.846 11.771 7.846
Pd 9.809 13.732 7.846
Pd 5.886 7.846 9.809
Pd 7.847 9.809 9.809
Pd 9.809 11.771 9.809
Pd 11.772 13.732 9.809
Pd 5.886 5.886 11.771
Pd 7.846 7.846 11.771
Pd 9.809 9.809 11.771
Pd 11.771 11.771 11.771
Pd 13.732 13.732 11.771
Pd 7.847 5.886 13.732
Pd 9.809 7.846 13.732
Pd 11.772 9.809 13.732
Pd 13.732 11.771 13.732
Pd 15.694 13.732 13.732
Pd 0.000 7.826 7.826
Pd 1.983 9.809 7.826
Pd 1.983 7.826 9.809
Pd 13.737 11.773 17.654
Pd 5.886 13.732 7.847
Pd 17.654 15.690 17.654
Pd 3.927 9.809 9.809
Pd 5.886 11.772 9.809
Pd 7.846 13.732 9.809
Pd 9.809 15.690 9.809
Pd 13.737 17.654 11.773
Pd 5.886 9.809 11.772
Pd 7.846 11.771 11.771
Pd 9.809 13.732 11.772
Pd 11.773 15.690 11.773
Pd 5.886 7.847 13.732
Pd 7.846 9.809 13.732
Pd 9.809 11.772 13.732
Pd 11.771 13.732 13.732
Pd 13.732 15.694 13.732
Pd 17.654 17.654 15.690
Pd 9.809 9.809 15.690
Pd 11.773 11.773 15.690
Pd 13.732 13.732 15.694
Pd 15.694 15.694 15.694
CELL_PARAMETERS angstrom
0.000 9.809 9.809
9.809 0.000 9.809
9.809 9.809 0.000